[1]
Entry from Alexandria: BePdPbAu after structural relaxation (PBE).

Summary:
Energy of formation from the pure elements   -0.06 eV/atom
ρ   11748 kg/m³
ΔE to the lowest computed polymorph   0.0952 eV/atom
Calculated total energy   -16.154 eV/cell

Cell lengths 3.1104, 3.5364, 6.9223 Å; angles 102.06, 99.24, 90.16 degrees
Last column: nearest neighbours and their distance in Å.
Space group P1 (No. 1)
Inequivalent atoms, fractional coordinates:
Be  0.0000  0.0000  0.0000 [1 per cell]  1 Pd 2.34, 4 Au 2.41-2.43
Pd  0.8718  0.8542  0.6489 [1 per cell]  1 Be 2.34
Pb  0.2960  0.2578  0.3912 [1 per cell]  1 Be 2.68, 4 Pd 2.87-2.96
Au  0.4676  0.4649  0.9151 [1 per cell]  4 Be 2.41-2.43

***

[2]
Entry from Alexandria: AcCe2CuS5 after structural relaxation (PBE).

Summary:
ρ   5708 kg/m³
Calculated total energy   -223.223 eV/cell
Energy relative to the elements, uncorrected   -1.68 eV/atom

Cell lengths 3.9619, 19.2308, 11.1666 Å; angles 90.00, 90.00, 90.00 degrees
Last column: nearest neighbours and their distance in Å.
Space group Cmc2_1 (No. 36)
Inequivalent atoms, fractional coordinates:
Ac  0.0000  0.2049  0.0000 [4 per cell]  6 S 2.93-3.09
Ce  0.0000  0.0844  0.6794 [4 per cell]  7 S 2.84-2.96
Ce  0.0000  0.1062  0.3087 [4 per cell]  7 S 2.79-3.06
Cu  0.0000  0.4383  0.4446 [4 per cell]  4 S 2.30-2.38
S  0.0000  0.0509  0.0522 [4 per cell]  2 Cu 2.33
S  0.0000  0.3052  0.6991 [4 per cell]  2 Ce 2.89, 2 Ac 2.98
S  0.0000  0.3372  0.3210 [4 per cell]  1 Cu 2.38
S  0.0000  0.3656  0.0025 [4 per cell]  4 Ce 2.96-2.98, 1 Ac 3.09
S  0.0000  0.4942  0.7749 [4 per cell]  1 Cu 2.30

***

[3]
Entry from Alexandria: KTlC3 after structural relaxation (PBE).

Summary:
Energy of formation from the pure elements   3.08 eV/atom
ρ   4482 kg/m³
ΔE to the lowest computed polymorph   0.0000 eV/atom
Calculated total energy   -15.727 eV/cell

Cell lengths 4.6961, 4.6961, 4.6961 Å; angles 90.00, 90.00, 90.00 degrees
Last column: nearest neighbours and their distance in Å.
Space group Pm-3m (No. 221)
Inequivalent atoms, fractional coordinates:
K  0.0000  0.0000  0.0000 [1 per cell]  12 C 3.32
Tl  0.5000  0.5000  0.5000 [1 per cell]  6 C 2.35
C  0.0000  0.5000  0.5000 [3 per cell]  2 Tl 2.35